[1]
BeAu2Cl (PBE, relaxed); SG = No. 119; energy above the most stable polymorph in this dataset = 16.63 kcal/mol of atoms; ρ = 9.21 g cm⁻³; uncorrected formation energy = 37 kJ per mole of atoms; magnetic moment = 0.0 μB per formula unit; DFT total energy = -10.6 eV per cell
1.0
-1.776 1.776 6.269
1.776 -1.776 6.269
1.776 1.776 -6.269
Be Au Cl
1 2 1
Direct
0.000 0.000 0.000 Be
0.500 0.500 0.000 Au
0.750 0.250 0.500 Au
0.250 0.750 0.500 Cl

=====

[2]
BeAu2Cl (PBE, relaxed); SG = No. 99; energy above the most stable polymorph in this dataset = 7.88 kcal/mol of atoms; ρ = 9.74 g cm⁻³; uncorrected formation energy = 0 kJ per mole of atoms; magnetic moment = 0.0 μB per formula unit; DFT total energy = -12.1 eV per cell
1.0
2.871 0.000 0.000
0.000 2.871 0.000
0.000 0.000 9.070
Be Au Cl
1 2 1
Direct
0.000 0.000 0.000 Be
0.000 0.000 0.562 Au
0.500 0.500 0.816 Au
0.500 0.500 0.148 Cl

=====

[3]
BeAu2Cl (PBE, relaxed); SG = No. 225; energy above the most stable polymorph in this dataset = 22.24 kcal/mol of atoms; ρ = 10.51 g cm⁻³; uncorrected formation energy = 60 kJ per mole of atoms; magnetic moment = 0.0 μB per formula unit; DFT total energy = -9.6 eV per cell
1.0
0.000 3.259 3.259
3.259 0.000 3.259
3.259 3.259 0.000
Be Au Cl
1 2 1
Direct
0.000 0.000 0.000 Be
0.250 0.250 0.250 Au
0.750 0.750 0.750 Au
0.500 0.500 0.500 Cl

=====

Q: What is the energy above the most stable polymorph in this dataset in the first record?
A: 16.63 kcal/mol of atoms

=====

Q: Which of these has the highest uncorrected formation energy?
A: number 3